[1]
This record from Alexandria describes a geometry-optimized SrZnGa structure. The functional is GGA-PBE.

abc: 4.215 4.573 4.573
angles: 120.00 90.00 90.00
Atoms (fractional coordinates):
1 Ga 0.167 0.000 0.000
2 Zn 0.167 0.667 0.333
3 Sr 0.666 0.333 0.667

Output
Crystal system   hexagonal



[2]
This record from Alexandria describes a geometry-optimized Pm2RuPt structure. The functional is GGA-PBE.

abc: 3.504 3.504 7.206
angles: 90.00 90.00 90.00
Atoms (fractional coordinates):
1 Ru 0.500 0.500 0.000
2 Pm 0.000 0.000 0.244
3 Pm 0.000 0.000 0.756
4 Pt 0.500 0.500 0.500

Output
Crystal system   tetragonal



[3]
This record from Alexandria describes a geometry-optimized NdC4 structure. The functional is GGA-PBE.

abc: 4.645 4.645 4.645
angles: 90.00 90.00 90.00
Last column: magnetic moment on the atom in μB.
Atoms (fractional coordinates):
1 Nd 0.500 0.500 0.500  -0.06
2 C 0.000 0.000 0.000  0.64
3 C 0.000 0.500 0.500  -0.30
4 C 0.500 0.000 0.500  -0.30
5 C 0.500 0.500 0.000  -0.30

Output
Crystal system   cubic



[4]
This record from Alexandria describes a geometry-optimized TlV2AsPd structure. The functional is GGA-PBE.

abc: 5.024 4.640 5.024
angles: 90.00 90.00 90.00
Last column: magnetic moment on the atom in μB.
Atoms (fractional coordinates):
1 V 0.500 0.000 0.000  2.96
2 V 0.000 0.000 0.500  2.47
3 Pd 0.000 0.000 0.000  0.07
4 As 0.000 0.500 0.000  -0.10
5 Tl 0.500 0.500 0.500  0.03

Output
Crystal system   tetragonal



Which energy relative to the elements belongs to each record? In order, -0.365, -0.648, 4.264, 0.817 eV/atom.
Which calculated total energy belongs to each record? In order, -0.1734, -0.5037, -0.2991, -0.3875 Ry per atom.